# 1
A plane-wave DFT calculation with PBE was carried out for a relaxed structure of Pr3NiCl3.

Results
Formation energy from raw total energies: -1.426 eV/atom
Raw total energy: -0.374 Ry/atom
Total magnetization: 0.0 μB per formula unit
Volume: 28.9 Å³/atom
Space group: I4_132, No. 214

Cell: 10.1705 10.1705 10.1705 Å, 109.47 109.47 109.47°
With the nearest neighbours (Å) after each atom.
Sites, in units of the cell vectors:
Pr 0.0119 0.0239 0.2619  2 Ni 2.80, 4 Cl 2.97-3.08
Pr 0.0119 0.4881 0.7500  2 Ni 2.80, 4 Cl 2.97-3.08
Pr 0.0239 0.2619 0.0119  2 Ni 2.80, 4 Cl 2.97-3.08
Pr 0.2381 0.2619 0.7500  2 Ni 2.80, 4 Cl 2.97-3.08
Pr 0.2381 0.4761 0.4881  2 Ni 2.80, 4 Cl 2.97-3.08
Pr 0.2619 0.0119 0.0239  2 Ni 2.80, 4 Cl 2.97-3.08
Pr 0.2619 0.7500 0.2381  2 Ni 2.80, 4 Cl 2.97-3.08
Pr 0.4761 0.4881 0.2381  2 Ni 2.80, 4 Cl 2.97-3.08
Pr 0.4881 0.2381 0.4761  2 Ni 2.80, 4 Cl 2.97-3.08
Pr 0.4881 0.7500 0.0119  2 Ni 2.80, 4 Cl 2.97-3.08
Pr 0.7500 0.0119 0.4881  2 Ni 2.80, 4 Cl 2.97-3.08
Pr 0.7500 0.2381 0.2619  2 Ni 2.80, 4 Cl 2.97-3.08
Ni 0.0000 0.2500 0.5000  6 Pr 2.80
Ni 0.2500 0.2500 0.2500  6 Pr 2.80
Ni 0.2500 0.5000 0.0000  6 Pr 2.80
Ni 0.5000 0.0000 0.2500  6 Pr 2.80
Cl 0.2500 0.7523 0.7477  4 Pr 2.97-3.08
Cl 0.2500 0.9977 0.5023  4 Pr 2.97-3.08
Cl 0.5023 0.2500 0.9977  4 Pr 2.97-3.08
Cl 0.5023 0.7523 0.5047  4 Pr 2.97-3.08
Cl 0.5047 0.5023 0.7523  4 Pr 2.97-3.08
Cl 0.7477 0.2500 0.7523  4 Pr 2.97-3.08
Cl 0.7477 0.9977 0.9953  4 Pr 2.97-3.08
Cl 0.7523 0.5047 0.5023  4 Pr 2.97-3.08
Cl 0.7523 0.7477 0.2500  4 Pr 2.97-3.08
Cl 0.9953 0.7477 0.9977  4 Pr 2.97-3.08
Cl 0.9977 0.5023 0.2500  4 Pr 2.97-3.08
Cl 0.9977 0.9953 0.7477  4 Pr 2.97-3.08



# 2
A plane-wave DFT calculation with PBE was carried out for a relaxed structure of K2LiHfPd.

Results
Raw total energy: -0.238 Ry/atom
Total magnetization: 0.0 μB per formula unit
Volume: 39.9 Å³/atom
DFT formation energy: 616.8 meV/atom
Space group: P4/mmm, No. 123

Cell: 6.3138 6.3138 5.0087 Å, 90.00 90.00 90.00°
With the nearest neighbours (Å) after each atom.
Sites, in units of the cell vectors:
K 0.0000 0.5000 0.0000  2 Pd 3.16
K 0.5000 0.0000 0.0000  2 Pd 3.16
Li 0.0000 0.0000 0.5000  8 K 4.03, 4 Hf 4.46
Hf 0.5000 0.5000 0.5000  2 Pd 2.50
Pd 0.5000 0.5000 0.0000  2 Hf 2.50



# 3
A plane-wave DFT calculation with PBE was carried out for a relaxed structure of Ag4Te3Se2.

Results
Formation energy from raw total energies: 0.038 eV/atom
Raw total energy: -0.224 Ry/atom
Total magnetization: 0.0 μB per formula unit
Volume: 32.3 Å³/atom
Space group: C2/m, No. 12

Cell: 6.2015 6.2015 11.0203 Å, 98.67 98.67 44.07°
With the nearest neighbours (Å) after each atom.
Sites, in units of the cell vectors:
Ag 0.0074 0.0074 0.1529  4 Te 2.83-2.87, 1 Se 2.95
Ag 0.2982 0.2982 0.5698  3 Se 2.71-2.77, 2 Ag 2.91, 1 Te 2.91
Ag 0.7018 0.7018 0.4302  3 Se 2.71-2.77, 2 Ag 2.91, 1 Te 2.91
Ag 0.9926 0.9926 0.8471  4 Te 2.83-2.87, 1 Se 2.95
Te 0.4664 0.4664 0.2857  1 Se 2.70, 3 Ag 2.83-2.91
Te 0.5000 0.5000 0.0000  4 Ag 2.87
Te 0.5336 0.5336 0.7143  1 Se 2.70, 3 Ag 2.83-2.91
Se 0.2380 0.2380 0.3161  1 Te 2.70, 4 Ag 2.71-2.95
Se 0.7620 0.7620 0.6839  1 Te 2.70, 4 Ag 2.71-2.95



# 4
A plane-wave DFT calculation with PBE was carried out for a relaxed structure of Tb8ErTl2.

Results
Raw total energy: -0.316 Ry/atom
Total magnetization: 0.0 μB per formula unit
Volume: 30.0 Å³/atom
DFT formation energy: -86.4 meV/atom
Space group: P-1, No. 2

Cell: 5.9809 7.8018 7.9135 Å, 105.81 99.28 106.21°
With the nearest neighbours (Å) after each atom.
Sites, in units of the cell vectors:
Tb 0.0482 0.1839 0.4099  7 Tb 3.38-3.62, 3 Tl 3.42-3.46, 2 Er 3.46
Tb 0.1325 0.5377 0.2326  3 Tl 3.37-3.48, 8 Tb 3.38-3.58, 1 Er 3.50
Tb 0.2383 0.9205 0.0626  2 Tl 3.34-3.66, 1 Er 3.37, 9 Tb 3.41-3.62
Tb 0.3153 0.2783 0.8762  9 Tb 3.37-3.56, 2 Tl 3.43-3.52, 1 Er 3.70
Tb 0.6847 0.7217 0.1238  9 Tb 3.37-3.56, 2 Tl 3.43-3.52, 1 Er 3.70
Tb 0.7617 0.0795 0.9374  2 Tl 3.34-3.66, 1 Er 3.37, 9 Tb 3.41-3.62
Tb 0.8675 0.4623 0.7674  3 Tl 3.37-3.48, 8 Tb 3.38-3.58, 1 Er 3.50
Tb 0.9518 0.8161 0.5901  7 Tb 3.38-3.62, 3 Tl 3.42-3.46, 2 Er 3.46
Er 0.5000 0.0000 0.5000  10 Tb 3.37-3.70, 2 Tl 3.45
Tl 0.4032 0.6392 0.6819  10 Tb 3.34-3.66, 1 Er 3.45, 1 Tl 3.66
Tl 0.5968 0.3608 0.3181  10 Tb 3.34-3.66, 1 Er 3.45, 1 Tl 3.66



# 5
A plane-wave DFT calculation with PBE was carried out for a relaxed structure of Y2Zn3Ni4.

Results
Raw total energy: -0.353 Ry/atom
Total magnetization: 0.0 μB per formula unit
Volume: 15.8 Å³/atom
DFT formation energy: -374.0 meV/atom
Space group: Cmce, No. 64

Cell: 8.0255 8.0255 7.0519 Å, 90.00 90.00 141.33°
With the nearest neighbours (Å) after each atom.
Sites, in units of the cell vectors:
Y 0.1075 0.8925 0.9144  5 Ni 2.77-2.98, 2 Zn 2.99
Y 0.3925 0.6075 0.4144  5 Ni 2.77-2.98, 2 Zn 2.99
Y 0.6075 0.3925 0.5856  5 Ni 2.77-2.98, 2 Zn 2.99
Y 0.8925 0.1075 0.0856  5 Ni 2.77-2.98, 2 Zn 2.99
Zn 0.0000 0.0000 0.5000  6 Ni 2.45-2.55
Zn 0.0169 0.4831 0.7500  5 Ni 2.47-2.61, 2 Zn 2.66
Zn 0.4831 0.0169 0.2500  5 Ni 2.47-2.61, 2 Zn 2.66
Zn 0.5000 0.5000 0.0000  6 Ni 2.45-2.55
Zn 0.5169 0.9831 0.7500  5 Ni 2.47-2.61, 2 Zn 2.66
Zn 0.9831 0.5169 0.2500  5 Ni 2.47-2.61, 2 Zn 2.66
Ni 0.1684 0.8316 0.5119  5 Zn 2.48-2.61, 2 Ni 2.72
Ni 0.1800 0.3200 0.7500  3 Zn 2.45-2.47, 4 Ni 2.66-2.72
Ni 0.3200 0.1800 0.2500  3 Zn 2.45-2.47, 4 Ni 2.66-2.72
Ni 0.3316 0.6684 0.0119  5 Zn 2.48-2.61, 2 Ni 2.72
Ni 0.6684 0.3316 0.9881  5 Zn 2.48-2.61, 2 Ni 2.72
Ni 0.6800 0.8200 0.7500  3 Zn 2.45-2.47, 4 Ni 2.66-2.72
Ni 0.8200 0.6800 0.2500  3 Zn 2.45-2.47, 4 Ni 2.66-2.72
Ni 0.8316 0.1684 0.4881  5 Zn 2.48-2.61, 2 Ni 2.72



# 6
A plane-wave DFT calculation with PBE was carried out for a relaxed structure of GaCoPt2.

Results
Raw total energy: -0.408 Ry/atom
Total magnetization: 2.0 μB per formula unit
Volume: 15.9 Å³/atom
DFT formation energy: 0.8 meV/atom
Space group: I-42d, No. 122

Cell: 9.0614 9.0614 9.0614 Å, 155.55 155.55 34.85°
With the nearest neighbours (Å) after each atom.
Sites, in units of the cell vectors:
Ga 0.0000 0.0000 0.0000  4 Pt 2.56, 4 Co 2.71
Ga 0.7500 0.2500 0.5000  4 Pt 2.56, 4 Co 2.71
Co 0.2500 0.7500 0.5000  4 Pt 2.54, 4 Ga 2.71
Co 0.5000 0.5000 0.0000  4 Pt 2.54, 4 Ga 2.71
Pt 0.1300 0.6250 0.0050  2 Co 2.54, 2 Ga 2.56, 4 Pt 2.69-2.74
Pt 0.3750 0.3800 0.5050  2 Co 2.54, 2 Ga 2.56, 4 Pt 2.69-2.74
Pt 0.6200 0.1250 0.9950  2 Co 2.54, 2 Ga 2.56, 4 Pt 2.69-2.74
Pt 0.8750 0.8700 0.4950  2 Co 2.54, 2 Ga 2.56, 4 Pt 2.69-2.74